Record 1
First-principles (PBE) data for a relaxed BeZnOF2 crystal, as listed in the Alexandria database.

a = 3.8423 Å, b = 3.8423 Å, c = 4.0740 Å
α = 90.00°, β = 90.00°, γ = 90.00°
Atoms (fractional coordinates):
Be (0.0000, 0.0000, 0.0000)
Zn (0.5000, 0.5000, 0.5000)
O (0.5000, 0.5000, 0.0000)
F (0.0000, 0.5000, 0.5000)
F (0.5000, 0.0000, 0.5000)

Summary:
The value obtained for the raw total energy is -18.28 eV per cell. For the uncorrected formation energy, the calculation gives -0.916 eV per atom. Its symmetry is P4/mmm. Its density of states at the Fermi level is 0.899 states/eV/f.u. For the energy above the lowest structure with this stoichiometry, the calculation gives 1.080 eV/atom.


Record 2
First-principles (PBE) data for a relaxed BeZnOF2 crystal, as listed in the Alexandria database.

a = 3.2051 Å, b = 3.2051 Å, c = 4.4885 Å
α = 90.00°, β = 90.00°, γ = 90.00°
Atoms (fractional coordinates):
Be (0.0000, 0.0000, 0.0000)
Zn (0.5000, 0.5000, 0.5000)
O (0.0000, 0.0000, 0.5000)
F (0.0000, 0.5000, 0.0000)
F (0.5000, 0.0000, 0.0000)

Summary:
The value obtained for the raw total energy is -23.68 eV per cell. For the uncorrected formation energy, the calculation gives -1.995 eV per atom. Its symmetry is P4/mmm. Its density of states at the Fermi level is 0.000 states/eV/f.u. For the energy above the lowest structure with this stoichiometry, the calculation gives 0.000 eV/atom.


Record 3
First-principles (PBE) data for a relaxed ZrBeO2F crystal, as listed in the Alexandria database.

a = 4.1439 Å, b = 4.1439 Å, c = 4.2121 Å
α = 90.00°, β = 90.00°, γ = 90.00°
Atoms (fractional coordinates):
Zr (0.0000, 0.0000, 0.0000)
Be (0.5000, 0.5000, 0.5000)
O (0.0000, 0.5000, 0.0000)
O (0.5000, 0.0000, 0.0000)
F (0.0000, 0.0000, 0.5000)

Summary:
The value obtained for the raw total energy is -33.07 eV per cell. For the uncorrected formation energy, the calculation gives -1.802 eV per atom. Its symmetry is P4/mmm. Its density of states at the Fermi level is 1.204 states/eV/f.u.


Record 4
First-principles (PBE) data for a relaxed ZrBeOF2 crystal, as listed in the Alexandria database.

a = 4.3385 Å, b = 4.3385 Å, c = 4.0563 Å
α = 90.00°, β = 90.00°, γ = 90.00°
Atoms (fractional coordinates):
Zr (0.0000, 0.0000, 0.0000)
Be (0.5000, 0.5000, 0.5000)
O (0.0000, 0.0000, 0.5000)
F (0.0000, 0.5000, 0.0000)
F (0.5000, 0.0000, 0.0000)

Summary:
The value obtained for the raw total energy is -30.59 eV per cell. For the uncorrected formation energy, the calculation gives -1.922 eV per atom. Its symmetry is P4/mmm. Its density of states at the Fermi level is 0.750 states/eV/f.u. For the energy above the lowest structure with this stoichiometry, the calculation gives 0.185 eV/atom.


Record 5
First-principles (PBE) data for a relaxed ZrBeOF2 crystal, as listed in the Alexandria database.

a = 4.1782 Å, b = 4.1782 Å, c = 2.9848 Å
α = 90.00°, β = 90.00°, γ = 90.00°
Atoms (fractional coordinates):
Zr (0.0000, 0.0000, 0.0000)
Be (0.5000, 0.5000, 0.5000)
O (0.5000, 0.5000, 0.0000)
F (0.0000, 0.5000, 0.5000)
F (0.5000, 0.0000, 0.5000)

Summary:
The value obtained for the raw total energy is -31.51 eV per cell. For the uncorrected formation energy, the calculation gives -2.107 eV per atom. Its symmetry is P4/mmm. Its density of states at the Fermi level is 2.978 states/eV/f.u. For the energy above the lowest structure with this stoichiometry, the calculation gives 0.000 eV/atom.


Record 6
First-principles (PBE) data for a relaxed ZrBeO2F crystal, as listed in the Alexandria database.

a = 3.7899 Å, b = 3.7899 Å, c = 3.0916 Å
α = 90.00°, β = 90.00°, γ = 90.00°
Atoms (fractional coordinates):
Zr (0.0000, 0.0000, 0.0000)
Be (0.5000, 0.5000, 0.5000)
O (0.0000, 0.5000, 0.5000)
O (0.5000, 0.0000, 0.5000)
F (0.5000, 0.5000, 0.0000)

Summary:
The value obtained for the raw total energy is -36.10 eV per cell. For the uncorrected formation energy, the calculation gives -2.407 eV per atom. Its symmetry is P4/mmm. Its density of states at the Fermi level is 0.624 states/eV/f.u.


Record 7
First-principles (PBE) data for a relaxed BeOs2F crystal, as listed in the Alexandria database.

a = 5.4688 Å, b = 5.4688 Å, c = 5.4688 Å
α = 99.22°, β = 99.22°, γ = 132.80°
Atoms (fractional coordinates):
Be (0.0000, 0.0000, 0.0000)
Be (0.7500, 0.2500, 0.5000)
Os (0.1927, 0.6250, 0.0677)
Os (0.3750, 0.4427, 0.5677)
Os (0.5573, 0.1250, 0.9323)
Os (0.8750, 0.8073, 0.4323)
F (0.2500, 0.7500, 0.5000)
F (0.5000, 0.5000, 0.0000)

Summary:
The value obtained for the raw total energy is -48.98 eV per cell. For the uncorrected formation energy, the calculation gives 0.891 eV per atom. Its symmetry is I-42d. Its density of states at the Fermi level is 5.363 states/eV/f.u. For the energy above the lowest structure with this stoichiometry, the calculation gives 0.273 eV/atom.


Record 8
First-principles (PBE) data for a relaxed BeOs2F crystal, as listed in the Alexandria database.

a = 4.0258 Å, b = 4.0258 Å, c = 4.0258 Å
α = 60.00°, β = 60.00°, γ = 60.00°
Atoms (fractional coordinates):
Be (0.0000, 0.0000, 0.0000)
Os (0.2500, 0.2500, 0.2500)
Os (0.7500, 0.7500, 0.7500)
F (0.5000, 0.5000, 0.5000)

Summary:
The value obtained for the raw total energy is -25.58 eV per cell. For the uncorrected formation energy, the calculation gives 0.618 eV per atom. Its symmetry is Fm-3m. Its density of states at the Fermi level is 5.087 states/eV/f.u. For the energy above the lowest structure with this stoichiometry, the calculation gives 0.000 eV/atom.


Record 9
First-principles (PBE) data for a relaxed Be3OsF crystal, as listed in the Alexandria database.

a = 3.6209 Å, b = 3.6209 Å, c = 3.6209 Å
α = 90.00°, β = 90.00°, γ = 90.00°
Atoms (fractional coordinates):
Be (0.0000, 0.0000, 0.5000)
Be (0.0000, 0.5000, 0.0000)
Be (0.5000, 0.0000, 0.0000)
Os (0.5000, 0.5000, 0.5000)
F (0.0000, 0.0000, 0.0000)

Summary:
The value obtained for the raw total energy is -25.57 eV per cell. For the uncorrected formation energy, the calculation gives -0.258 eV per atom. Its symmetry is Pm-3m. Its density of states at the Fermi level is 2.322 states/eV/f.u. For the energy above the lowest structure with this stoichiometry, the calculation gives 0.000 eV/atom.


Record 10
First-principles (PBE) data for a relaxed Be3OsF crystal, as listed in the Alexandria database.

a = 4.2269 Å, b = 4.2269 Å, c = 4.2269 Å
α = 90.00°, β = 90.00°, γ = 90.00°
Atoms (fractional coordinates):
Be (0.0000, 0.0000, 0.5000)
Be (0.0000, 0.5000, 0.0000)
Be (0.5000, 0.0000, 0.0000)
Os (0.0000, 0.0000, 0.0000)
F (0.5000, 0.5000, 0.5000)

Summary:
The value obtained for the raw total energy is -20.45 eV per cell. For the uncorrected formation energy, the calculation gives 0.766 eV per atom. Its symmetry is Pm-3m. Its density of states at the Fermi level is 5.160 states/eV/f.u. For the energy above the lowest structure with this stoichiometry, the calculation gives 1.025 eV/atom.


Record 11
First-principles (PBE) data for a relaxed BeOsF3 crystal, as listed in the Alexandria database.

a = 3.7657 Å, b = 3.7657 Å, c = 3.7657 Å
α = 90.00°, β = 90.00°, γ = 90.00°
Atoms (fractional coordinates):
Be (0.0000, 0.0000, 0.0000)
Os (0.5000, 0.5000, 0.5000)
F (0.0000, 0.0000, 0.5000)
F (0.0000, 0.5000, 0.0000)
F (0.5000, 0.0000, 0.0000)

Summary:
The value obtained for the raw total energy is -23.99 eV per cell. For the uncorrected formation energy, the calculation gives -0.684 eV per atom. Its symmetry is Pm-3m. Its density of states at the Fermi level is 3.137 states/eV/f.u. For the energy above the lowest structure with this stoichiometry, the calculation gives 0.000 eV/atom.


Record 12
First-principles (PBE) data for a relaxed BeOsF3 crystal, as listed in the Alexandria database.

a = 4.1570 Å, b = 4.1570 Å, c = 4.1570 Å
α = 90.00°, β = 90.00°, γ = 90.00°
Atoms (fractional coordinates):
Be (0.0000, 0.0000, 0.0000)
Os (0.5000, 0.5000, 0.5000)
F (0.0000, 0.5000, 0.5000)
F (0.5000, 0.0000, 0.5000)
F (0.5000, 0.5000, 0.0000)

Summary:
The value obtained for the raw total energy is -20.98 eV per cell. For the uncorrected formation energy, the calculation gives -0.082 eV per atom. Its symmetry is Pm-3m. Its density of states at the Fermi level is 5.401 states/eV/f.u. For the energy above the lowest structure with this stoichiometry, the calculation gives 0.602 eV/atom.


- Which of these has the lowest raw total energy?
  number 7


- Among the records above, which one has the highest uncorrected formation energy?
  number 7


- What is the uncorrected formation energy in the ninth record?
  -0.258 eV per atom